No. 1
## NdSnPdPt (PBE-GGA)

Data for NdSnPdPt after structural relaxation.

Computed properties:
formation energy	-0.852	eV per atom
total energy	-5.853	eV per atom

abc: 8.0931 4.6684 5.3204
angles: 90.00 120.37 90.00
Space group Cm (No. 8)
Unique sites:
Nd  0.0000  0.0000  0.0000 (multiplicity 2)
Sn  0.0032  0.5000  0.5090 (multiplicity 2)
Pd  0.2819  0.5000  0.3453 (multiplicity 2)
Pt  0.2194  0.0000  0.6571 (multiplicity 2)


No. 2
## CaI2NF (PBE-GGA)

Data for CaI2NF after structural relaxation.

Computed properties:
total energy	-2.872	eV per atom
raw formation energy	91	kJ/mol of formula units

abc: 5.7513 5.7513 3.9808
angles: 90.00 90.00 90.00
Space group P4/mmm (No. 123)
Unique sites:
Ca  0.0000  0.0000  0.0000 (multiplicity 1)
I  0.0000  0.5000  0.5000 (multiplicity 2)
N  0.5000  0.5000  0.0000 (multiplicity 1)
F  0.5000  0.5000  0.5000 (multiplicity 1)


No. 3
## Pm4SmTl3 (PBE-GGA)

Data for Pm4SmTl3 after structural relaxation.

Computed properties:
formation energy	-0.242	eV per atom
total energy	-4.094	eV per atom

abc: 5.5011 5.5011 28.1034
angles: 90.00 90.00 120.00
Space group R-3m (No. 166, hexagonal axes)
Unique sites:
Pm  0.0000  0.0000  0.1124 (multiplicity 6)
Pm  0.0000  0.0000  0.3685 (multiplicity 6)
Sm  0.0000  0.0000  0.5000 (multiplicity 3)
Tl  0.0000  0.0000  0.0000 (multiplicity 3)
Tl  0.0000  0.0000  0.2351 (multiplicity 6)


No. 4
## Pm8Cd3Ru2 (PBE-GGA)

Data for Pm8Cd3Ru2 after structural relaxation.

Computed properties:
formation energy	-0.108	eV per atom
total energy	-4.670	eV per atom

abc: 17.6865 8.0522 5.1437
angles: 90.00 92.01 90.00
Space group C2/m (No. 12)
Unique sites:
Pm  0.0718  0.0000  0.2556 (multiplicity 4)
Pm  0.1637  0.5000  0.2369 (multiplicity 4)
Pm  0.1709  0.2234  0.7487 (multiplicity 8)
Cd  0.0000  0.3202  0.0000 (multiplicity 4)
Cd  0.0000  0.5000  0.5000 (multiplicity 2)
Ru  0.2258  0.0000  0.2304 (multiplicity 4)